# 1
{
  "formula": "TlInAu2I",
  "functional": "GGA-PBE",
  "state": "optimized geometry",
  "raw_formation_energy_ev_per_atom": 0.20,
  "cell": [[5.328, 0.000, 0.000], [0.000, 6.638, 0.000], [0.000, 0.000, 5.328]],
  "species": ["I", "Tl", "Au", "Au", "In"],
  "frac_coords": [[0.000, 0.500, 0.000], [0.000, 0.000, 0.000], [0.000, 0.000, 0.500], [0.500, 0.000, 0.000], [0.500, 0.500, 0.500]]
}

***

# 2
{
  "formula": "TmPuZn2",
  "functional": "GGA-PBE",
  "state": "optimized geometry",
  "ef_kcal_per_mol_atoms": -4.2,
  "relative_energy_mev_per_atom": 6,
  "cell": [[-2.700, 4.216, -0.205], [-1.978, 1.914, 4.186], [1.836, 4.246, 1.924]],
  "species": ["Zn", "Zn", "Tm", "Pu"],
  "frac_coords": [[0.250, 0.250, 0.250], [0.750, 0.750, 0.750], [0.500, 0.500, 0.500], [0.000, 0.000, 0.000]]
}

***

# 3
{
  "formula": "LuTh2Ag",
  "functional": "GGA-PBE",
  "state": "optimized geometry",
  "ef_kcal_per_mol_atoms": 0.5,
  "relative_energy_mev_per_atom": 0,
  "cell": [[3.508, 0.000, 0.000], [0.000, 3.508, 0.000], [0.000, 0.000, 9.386]],
  "species": ["Lu", "Th", "Th", "Ag"],
  "frac_coords": [[0.500, 0.500, 0.500], [0.000, 0.000, 0.771], [0.000, 0.000, 0.229], [0.500, 0.500, 0.000]]
}

***

# 4
{
  "formula": "LuBe4Fe",
  "functional": "GGA-PBE",
  "state": "optimized geometry",
  "ef_kcal_per_mol_atoms": -2.1,
  "cell": [[-0.644, -3.191, -3.177], [2.684, -0.130, -3.670], [3.022, -3.364, -0.490]],
  "species": ["Be", "Be", "Be", "Be", "Lu", "Fe"],
  "frac_coords": [[0.628, 0.628, 0.115], [0.628, 0.115, 0.628], [0.628, 0.628, 0.628], [0.115, 0.628, 0.628], [0.250, 0.250, 0.250], [0.000, 0.000, 0.000]]
}

***

# 5
{
  "formula": "ReNi",
  "functional": "GGA-PBE",
  "state": "optimized geometry",
  "ef_kcal_per_mol_atoms": 10.3,
  "cell": [[9.258, 0.000, 0.000], [0.000, 9.258, 0.000], [0.000, 0.000, 2.583]],
  "species": ["Re", "Re", "Re", "Re", "Re", "Re", "Re", "Re", "Ni", "Ni", "Ni", "Ni", "Ni", "Ni", "Ni", "Ni"],
  "frac_coords": [[0.869, 0.396, 0.500], [0.131, 0.604, 0.500], [0.604, 0.869, 0.500], [0.396, 0.131, 0.500], [0.869, 0.663, 0.000], [0.131, 0.337, 0.000], [0.337, 0.869, 0.000], [0.663, 0.131, 0.000], [0.654, 0.588, 0.500], [0.346, 0.412, 0.500], [0.412, 0.654, 0.500], [0.588, 0.346, 0.500], [0.926, 0.162, 0.000], [0.074, 0.838, 0.000], [0.838, 0.926, 0.000], [0.162, 0.074, 0.000]]
}

***

# 6
{
  "formula": "Mg3Se4",
  "functional": "GGA-PBE",
  "state": "optimized geometry",
  "raw_formation_energy_ev_per_atom": -0.26,
  "relative_energy_mev_per_atom": 571,
  "cell": [[-3.857, 4.979, 1.835], [-1.080, -3.056, -5.704], [-2.803, -2.949, 2.111]],
  "species": ["Mg", "Mg", "Mg", "Se", "Se", "Se", "Se"],
  "frac_coords": [[0.000, 0.500, 0.000], [0.500, 0.500, 0.000], [0.500, 0.000, 0.000], [0.000, 0.000, 0.266], [0.000, 0.000, 0.734], [0.667, 0.333, 0.500], [0.333, 0.667, 0.500]]
}

***

# 7
{
  "formula": "PuAl4Au4",
  "functional": "GGA-PBE",
  "state": "optimized geometry",
  "ef_kcal_per_mol_atoms": -9.5,
  "cell": [[-3.916, 4.751, -1.149], [-4.828, -3.530, 1.859], [1.080, 2.901, 8.312]],
  "species": ["Pu", "Pu", "Al", "Al", "Al", "Al", "Al", "Al", "Al", "Al", "Au", "Au", "Au", "Au", "Au", "Au", "Au", "Au"],
  "frac_coords": [[0.000, 0.000, 0.000], [0.500, 0.500, 0.500], [0.223, 0.500, 0.903], [0.777, 0.500, 0.903], [0.500, 0.777, 0.097], [0.500, 0.223, 0.097], [0.000, 0.723, 0.403], [0.000, 0.277, 0.403], [0.277, 0.000, 0.597], [0.723, 0.000, 0.597], [0.500, 0.774, 0.805], [0.500, 0.226, 0.805], [0.774, 0.500, 0.195], [0.226, 0.500, 0.195], [0.274, 0.000, 0.305], [0.726, 0.000, 0.305], [0.000, 0.274, 0.695], [0.000, 0.726, 0.695]]
}

***

# 8
{
  "formula": "TbCu2Cl6",
  "functional": "GGA-PBE",
  "state": "optimized geometry",
  "raw_formation_energy_ev_per_atom": -1.26,
  "cell": [[6.554, -0.138, 1.563], [2.062, 8.872, 0.665], [-0.142, 0.093, 9.131]],
  "species": ["Tb", "Tb", "Cu", "Cu", "Cu", "Cu", "Cl", "Cl", "Cl", "Cl", "Cl", "Cl", "Cl", "Cl", "Cl", "Cl", "Cl", "Cl"],
  "frac_coords": [[0.250, 0.091, 0.909], [0.750, 0.909, 0.091], [0.363, 0.490, 0.668], [0.137, 0.332, 0.510], [0.637, 0.510, 0.332], [0.863, 0.668, 0.490], [0.499, 0.678, 0.544], [0.001, 0.456, 0.322], [0.501, 0.322, 0.456], [0.999, 0.544, 0.678], [0.866, 0.882, 0.354], [0.634, 0.646, 0.118], [0.134, 0.118, 0.646], [0.366, 0.354, 0.882], [0.139, 0.821, 0.942], [0.361, 0.058, 0.179], [0.861, 0.179, 0.058], [0.639, 0.942, 0.821]]
}

***

# 9
{
  "formula": "LiHfNbRe",
  "functional": "GGA-PBE",
  "state": "optimized geometry",
  "ef_kcal_per_mol_atoms": -2.3,
  "cell": [[-0.194, 0.830, 4.490], [-2.720, -2.518, 2.674], [1.819, -2.975, 2.955]],
  "species": ["Re", "Nb", "Hf", "Li"],
  "frac_coords": [[0.500, 0.500, 0.500], [0.250, 0.250, 0.250], [0.750, 0.750, 0.750], [0.000, 0.000, 0.000]]
}

***

# 10
{
  "formula": "Ba6AsPt3",
  "functional": "GGA-PBE",
  "state": "optimized geometry",
  "ef_kcal_per_mol_atoms": -17.3,
  "cell": [[-4.205, -1.419, -1.483], [3.183, -12.569, 3.004], [-5.485, 5.397, 10.386]],
  "species": ["Ba", "Ba", "Ba", "Ba", "Ba", "Ba", "Ba", "Ba", "Ba", "Ba", "Ba", "Ba", "As", "As", "Pt", "Pt", "Pt", "Pt", "Pt", "Pt"],
  "frac_coords": [[0.250, 0.390, 0.531], [0.750, 0.610, 0.469], [0.250, 0.902, 0.079], [0.750, 0.098, 0.921], [0.250, 0.935, 0.601], [0.750, 0.065, 0.399], [0.250, 0.730, 0.264], [0.750, 0.270, 0.736], [0.250, 0.539, 0.883], [0.750, 0.461, 0.117], [0.250, 0.245, 0.198], [0.750, 0.755, 0.802], [0.250, 0.307, 0.954], [0.750, 0.693, 0.046], [0.250, 0.165, 0.564], [0.750, 0.835, 0.436], [0.250, 0.502, 0.311], [0.750, 0.498, 0.689], [0.250, 0.919, 0.844], [0.750, 0.081, 0.156]]
}

***

# 11
{
  "formula": "ThCuReSi2",
  "functional": "GGA-PBE",
  "state": "optimized geometry",
  "raw_formation_energy_ev_per_atom": -0.45,
  "cell": [[-0.299, -4.041, -0.300], [4.020, -0.334, 0.487], [-2.520, 1.849, 5.121]],
  "species": ["Th", "Cu", "Re", "Si", "Si"],
  "frac_coords": [[0.000, 0.000, 0.000], [0.250, 0.750, 0.500], [0.750, 0.250, 0.500], [0.621, 0.621, 0.242], [0.379, 0.379, 0.758]]
}

***

# 12
{
  "formula": "NpAgSb2",
  "functional": "GGA-PBE",
  "state": "optimized geometry",
  "raw_formation_energy_ev_per_atom": -0.15,
  "cell": [[4.160, 0.000, 0.000], [0.000, 4.784, 0.000], [0.000, 0.000, 4.784]],
  "species": ["Np", "Sb", "Sb", "Ag"],
  "frac_coords": [[0.500, 0.500, 0.500], [0.000, 0.000, 0.500], [0.000, 0.500, 0.000], [0.500, 0.000, 0.000]]
}

***

Repeat the second record exactly.
{
  "formula": "TmPuZn2",
  "functional": "GGA-PBE",
  "state": "optimized geometry",
  "ef_kcal_per_mol_atoms": -4.2,
  "relative_energy_mev_per_atom": 6,
  "cell": [[-2.700, 4.216, -0.205], [-1.978, 1.914, 4.186], [1.836, 4.246, 1.924]],
  "species": ["Zn", "Zn", "Tm", "Pu"],
  "frac_coords": [[0.250, 0.250, 0.250], [0.750, 0.750, 0.750], [0.500, 0.500, 0.500], [0.000, 0.000, 0.000]]
}

***

Copy entry 11 word for word.
{
  "formula": "ThCuReSi2",
  "functional": "GGA-PBE",
  "state": "optimized geometry",
  "raw_formation_energy_ev_per_atom": -0.45,
  "cell": [[-0.299, -4.041, -0.300], [4.020, -0.334, 0.487], [-2.520, 1.849, 5.121]],
  "species": ["Th", "Cu", "Re", "Si", "Si"],
  "frac_coords": [[0.000, 0.000, 0.000], [0.250, 0.750, 0.500], [0.750, 0.250, 0.500], [0.621, 0.621, 0.242], [0.379, 0.379, 0.758]]
}